Record 1
# RbHgBiPb2, relaxed, DFT PBE
data_RbHgBiPb2
_symmetry_space_group_name_H-M 'P 1'
_symmetry_Int_Tables_number 1
_symmetry_space_group_name_Hall 'P 1'
_cell_length_a 5.119
_cell_length_b 4.853
_cell_length_c 8.274
_cell_angle_alpha 107.05
_cell_angle_beta 108.02
_cell_angle_gamma 90.00
loop_
_atom_site_label
_atom_site_type_symbol
_atom_site_fract_x
_atom_site_fract_y
_atom_site_fract_z
Rb1 Rb 0.431 0.431 0.862
Hg1 Hg 0.839 0.839 0.678
Bi1 Bi 0.197 0.697 0.393
Pb1 Pb 0.691 0.191 0.382
Pb2 Pb 0.054 0.054 0.109
# calculated formation energy: -0.139 eV per atom
# space-group type: Imm2, No. 44

Record 2
# BaLa2InN, relaxed, DFT PBE
data_BaLa2InN
_symmetry_space_group_name_H-M 'P 1'
_symmetry_Int_Tables_number 1
_symmetry_space_group_name_Hall 'P 1'
_cell_length_a 5.147
_cell_length_b 5.147
_cell_length_c 5.593
_cell_angle_alpha 90.00
_cell_angle_beta 90.00
_cell_angle_gamma 90.00
loop_
_atom_site_label
_atom_site_type_symbol
_atom_site_fract_x
_atom_site_fract_y
_atom_site_fract_z
N1 N 0.000 0.000 0.000
In1 In 0.500 0.500 0.500
Ba1 Ba 0.000 0.000 0.500
La1 La 0.000 0.500 0.000
La2 La 0.500 0.000 0.000
# energy relative to the elements, uncorrected: -3.303 eV per formula unit
# space-group type: P4/mmm, No. 123

Record 3
# KAl2AsO6, relaxed, DFT PBE
data_KAl2AsO6
_symmetry_space_group_name_H-M 'P 1'
_symmetry_Int_Tables_number 1
_symmetry_space_group_name_Hall 'P 1'
_cell_length_a 6.034
_cell_length_b 7.193
_cell_length_c 7.193
_cell_angle_alpha 106.64
_cell_angle_beta 76.93
_cell_angle_gamma 76.93
loop_
_atom_site_label
_atom_site_type_symbol
_atom_site_fract_x
_atom_site_fract_y
_atom_site_fract_z
K1 K 0.250 0.899 0.101
K2 K 0.750 0.101 0.899
Al1 Al 0.353 0.695 0.549
Al2 Al 0.147 0.451 0.305
Al3 Al 0.647 0.305 0.451
Al4 Al 0.853 0.549 0.695
As1 As 0.250 0.204 0.796
As2 As 0.750 0.796 0.204
O1 O 0.228 0.961 0.745
O2 O 0.272 0.255 0.039
O3 O 0.772 0.039 0.255
O4 O 0.728 0.745 0.961
O5 O 0.489 0.795 0.355
O6 O 0.011 0.645 0.205
O7 O 0.511 0.205 0.645
O8 O 0.989 0.355 0.795
O9 O 0.055 0.663 0.578
O10 O 0.445 0.422 0.337
O11 O 0.945 0.337 0.422
O12 O 0.555 0.578 0.663
# energy relative to the elements, uncorrected: -22.278 eV per formula unit
# space-group type: C2/c, No. 15

Record 4
# Cs3LaSb2Se6, relaxed, DFT PBE
data_Cs3LaSb2Se6
_symmetry_space_group_name_H-M 'P 1'
_symmetry_Int_Tables_number 1
_symmetry_space_group_name_Hall 'P 1'
_cell_length_a 7.587
_cell_length_b 7.587
_cell_length_c 8.727
_cell_angle_alpha 98.34
_cell_angle_beta 98.34
_cell_angle_gamma 120.00
loop_
_atom_site_label
_atom_site_type_symbol
_atom_site_fract_x
_atom_site_fract_y
_atom_site_fract_z
Cs1 Cs 0.166 0.834 0.500
Cs2 Cs 0.834 0.166 0.500
Cs3 Cs 0.500 0.500 0.500
La1 La 0.000 0.000 0.000
Sb1 Sb 0.333 0.667 0.000
Sb2 Sb 0.667 0.333 0.000
Se1 Se 0.937 0.594 0.812
Se2 Se 0.720 0.720 0.187
Se3 Se 0.063 0.406 0.188
Se4 Se 0.594 0.937 0.812
Se5 Se 0.280 0.280 0.813
Se6 Se 0.406 0.063 0.188
# energy relative to the elements, uncorrected: -12.568 eV per formula unit
# space-group type: C2/m, No. 12

Record 5
# SrScI2, relaxed, DFT PBE
data_SrScI2
_symmetry_space_group_name_H-M 'P 1'
_symmetry_Int_Tables_number 1
_symmetry_space_group_name_Hall 'P 1'
_cell_length_a 4.084
_cell_length_b 4.084
_cell_length_c 11.050
_cell_angle_alpha 79.35
_cell_angle_beta 79.35
_cell_angle_gamma 60.00
loop_
_atom_site_label
_atom_site_type_symbol
_atom_site_fract_x
_atom_site_fract_y
_atom_site_fract_z
I1 I 0.110 0.110 0.669
I2 I 0.890 0.890 0.331
Sr1 Sr 0.000 0.000 0.000
Sc1 Sc 0.500 0.500 0.500
# relative energy among the computed polymorphs: 0.000 eV/atom
# energy relative to the elements, uncorrected: -2.925 eV per formula unit
# space-group type: R-3m, No. 166

Record 6
# CeThFe, relaxed, DFT PBE
data_CeThFe
_symmetry_space_group_name_H-M 'P 1'
_symmetry_Int_Tables_number 1
_symmetry_space_group_name_Hall 'P 1'
_cell_length_a 3.500
_cell_length_b 3.500
_cell_length_c 6.256
_cell_angle_alpha 106.24
_cell_angle_beta 106.24
_cell_angle_gamma 90.00
loop_
_atom_site_label
_atom_site_type_symbol
_atom_site_fract_x
_atom_site_fract_y
_atom_site_fract_z
Ce1 Ce 0.066 0.066 0.132
Th1 Th 0.330 0.330 0.661
Fe1 Fe 0.604 0.604 0.207
# relative energy among the computed polymorphs: 0.283 eV/atom
# calculated formation energy: 0.208 eV per atom
# space-group type: I4mm, No. 107